1.
{
  "formula": "LiScW2Au",
  "functional": "PBE-GGA",
  "state": "optimized geometry",
  "total_energy_ev_per_atom": -6.3428,
  "space_group": "P4/mmm (123)",
  "formation_energy_mev_per_atom": 1143,
  "cell": [[4.258, 0.000, 0.000], [0.000, 4.258, 0.000], [0.000, 0.000, 4.593]],
  "species": ["Li", "Sc", "W", "W", "Au"],
  "fractional_positions": [[0.000, 0.000, 0.000], [0.000, 0.000, 0.500], [0.000, 0.500, 0.000], [0.500, 0.000, 0.000], [0.500, 0.500, 0.500]]
}

***

2.
{
  "formula": "TbPa6S8",
  "functional": "PBE-GGA",
  "state": "optimized geometry",
  "total_energy_ev_per_atom": -7.3932,
  "space_group": "R-3 (148)",
  "e_form_raw_ev_per_atom": -1.085,
  "cell": [[4.989, 2.881, 4.225], [-4.989, 2.881, 4.225], [0.000, -5.761, 4.225]],
  "species": ["Tb", "Pa", "Pa", "Pa", "Pa", "Pa", "Pa", "S", "S", "S", "S", "S", "S", "S", "S"],
  "fractional_positions": [[0.000, 0.000, 0.000], [0.192, 0.557, 0.417], [0.417, 0.192, 0.557], [0.443, 0.583, 0.808], [0.557, 0.417, 0.192], [0.583, 0.808, 0.443], [0.808, 0.443, 0.583], [0.132, 0.350, 0.773], [0.225, 0.225, 0.225], [0.227, 0.868, 0.650], [0.350, 0.773, 0.132], [0.650, 0.227, 0.868], [0.773, 0.132, 0.350], [0.775, 0.775, 0.775], [0.868, 0.650, 0.227]]
}

***

3.
{
  "formula": "DySi2Ni",
  "functional": "PBE-GGA",
  "state": "optimized geometry",
  "total_energy_ev_per_atom": -6.1009,
  "space_group": "Pnma (62)",
  "e_form_raw_ev_per_atom": -0.794,
  "cell": [[6.759, 0.000, 0.000], [0.000, 3.902, 0.000], [0.000, 0.000, 9.984]],
  "species": ["Dy", "Dy", "Dy", "Dy", "Si", "Si", "Si", "Si", "Si", "Si", "Si", "Si", "Ni", "Ni", "Ni", "Ni"],
  "fractional_positions": [[0.153, 0.250, 0.127], [0.347, 0.750, 0.627], [0.653, 0.250, 0.373], [0.847, 0.750, 0.873], [0.163, 0.250, 0.826], [0.176, 0.250, 0.430], [0.324, 0.750, 0.930], [0.337, 0.750, 0.326], [0.663, 0.250, 0.674], [0.676, 0.250, 0.070], [0.824, 0.750, 0.570], [0.837, 0.750, 0.174], [0.001, 0.750, 0.370], [0.499, 0.250, 0.870], [0.501, 0.750, 0.130], [0.999, 0.250, 0.630]]
}

***

4.
{
  "formula": "AgHgIBr2",
  "functional": "PBE-GGA",
  "state": "optimized geometry",
  "total_energy_ev_per_atom": -1.9255,
  "space_group": "P2_1/m (11)",
  "e_form_raw_ev_per_atom": -0.316,
  "cell": [[7.438, 0.000, 0.000], [0.000, 4.635, 0.000], [-1.880, 0.000, 10.345]],
  "species": ["Ag", "Ag", "Hg", "Hg", "I", "I", "Br", "Br", "Br", "Br"],
  "fractional_positions": [[0.085, 0.250, 0.441], [0.915, 0.750, 0.559], [0.262, 0.750, 0.979], [0.738, 0.250, 0.021], [0.454, 0.250, 0.822], [0.546, 0.750, 0.178], [0.052, 0.250, 0.163], [0.267, 0.750, 0.505], [0.733, 0.250, 0.495], [0.948, 0.750, 0.837]]
}

***

5.
{
  "formula": "Dy8Ho2Tm",
  "functional": "PBE-GGA",
  "state": "optimized geometry",
  "e_above_lowest_polymorph_mev_per_atom": 0,
  "total_energy_ev_per_atom": -4.4177,
  "space_group": "C2/m (12)",
  "formation_energy_mev_per_atom": 168,
  "cell": [[9.386, -3.447, 0.000], [9.386, 3.447, 0.000], [-0.290, 0.000, 5.537]],
  "species": ["Dy", "Dy", "Dy", "Dy", "Dy", "Dy", "Dy", "Dy", "Ho", "Ho", "Tm"],
  "fractional_positions": [[0.046, 0.046, 0.235], [0.103, 0.634, 0.267], [0.313, 0.313, 0.768], [0.366, 0.897, 0.733], [0.634, 0.103, 0.267], [0.687, 0.687, 0.232], [0.897, 0.366, 0.733], [0.954, 0.954, 0.765], [0.216, 0.216, 0.253], [0.784, 0.784, 0.747], [0.500, 0.500, 0.000]]
}

***

6.
{
  "formula": "Zn3SiBi",
  "functional": "PBE-GGA",
  "state": "optimized geometry",
  "e_above_lowest_polymorph_mev_per_atom": 667,
  "total_energy_ev_per_atom": -1.5696,
  "space_group": "Pm-3m (221)",
  "e_form_raw_ev_per_atom": 1.056,
  "cell": [[5.360, 0.000, 0.000], [0.000, 5.360, 0.000], [0.000, 0.000, 5.360]],
  "species": ["Zn", "Zn", "Zn", "Si", "Bi"],
  "fractional_positions": [[0.000, 0.000, 0.500], [0.000, 0.500, 0.000], [0.500, 0.000, 0.000], [0.500, 0.500, 0.500], [0.000, 0.000, 0.000]]
}

***

7.
{
  "formula": "Pm2SmThAs4",
  "functional": "PBE-GGA",
  "state": "optimized geometry",
  "total_energy_ev_per_atom": -6.5513,
  "space_group": "P2/m (10)",
  "formation_energy_mev_per_atom": -1522,
  "cell": [[7.331, 0.000, 0.000], [0.000, 4.241, 0.000], [-2.442, 0.000, 6.917]],
  "species": ["Pm", "Pm", "Sm", "Th", "As", "As", "As", "As"],
  "fractional_positions": [[0.000, 0.000, 0.000], [0.500, 0.500, 0.000], [0.000, 0.500, 0.500], [0.500, 0.000, 0.500], [0.250, 0.000, 0.748], [0.250, 0.500, 0.251], [0.750, 0.000, 0.252], [0.750, 0.500, 0.749]]
}

***

8.
{
  "formula": "MnHN",
  "functional": "PBE-GGA",
  "state": "optimized geometry",
  "e_above_lowest_polymorph_mev_per_atom": 324,
  "total_energy_ev_per_atom": -6.6117,
  "space_group": "Amm2 (38)",
  "cell": [[3.696, 0.000, 0.000], [0.000, 2.993, 0.000], [0.000, 0.000, 5.441]],
  "species": ["Mn", "Mn", "H", "H", "N", "N"],
  "fractional_positions": [[0.000, 0.000, 0.000], [0.000, 0.500, 0.500], [0.500, 0.000, 0.242], [0.500, 0.500, 0.742], [0.500, 0.000, 0.050], [0.500, 0.500, 0.550]]
}

***

9.
{
  "formula": "ReTeRh2",
  "functional": "PBE-GGA",
  "state": "optimized geometry",
  "total_energy_ev_per_atom": -7.1052,
  "space_group": "R3m (160)",
  "e_form_raw_ev_per_atom": 0.468,
  "cell": [[2.979, 0.000, 0.000], [-1.489, 2.580, 0.000], [0.000, 0.000, 25.960]],
  "species": ["Re", "Re", "Re", "Te", "Te", "Te", "Rh", "Rh", "Rh", "Rh", "Rh", "Rh"],
  "fractional_positions": [[0.000, 0.000, 0.000], [0.333, 0.667, 0.667], [0.667, 0.333, 0.333], [0.000, 0.000, 0.754], [0.333, 0.667, 0.421], [0.667, 0.333, 0.088], [0.000, 0.000, 0.256], [0.000, 0.000, 0.502], [0.333, 0.667, 0.169], [0.333, 0.667, 0.923], [0.667, 0.333, 0.590], [0.667, 0.333, 0.836]]
}

***

10.
{
  "formula": "BaZn2Cu",
  "functional": "PBE-GGA",
  "state": "optimized geometry",
  "total_energy_ev_per_atom": -2.2985,
  "space_group": "C2/m (12)",
  "formation_energy_mev_per_atom": -157,
  "cell": [[7.580, 0.000, 0.000], [0.000, 4.370, 0.000], [-2.482, 0.000, 5.852]],
  "species": ["Ba", "Ba", "Zn", "Zn", "Zn", "Zn", "Cu", "Cu"],
  "fractional_positions": [[0.000, 0.000, 0.000], [0.500, 0.500, 0.000], [0.191, 0.000, 0.574], [0.309, 0.500, 0.426], [0.691, 0.500, 0.574], [0.809, 0.000, 0.426], [0.000, 0.500, 0.500], [0.500, 0.000, 0.500]]
}

***

11.
{
  "formula": "NbCd2SN",
  "functional": "PBE-GGA",
  "state": "optimized geometry",
  "total_energy_ev_per_atom": -3.8542,
  "space_group": "P4/mmm (123)",
  "e_form_raw_ev_per_atom": 1.016,
  "cell": [[4.244, 0.000, 0.000], [0.000, 4.244, 0.000], [0.000, 0.000, 5.482]],
  "species": ["Nb", "Cd", "Cd", "S", "N"],
  "fractional_positions": [[0.000, 0.000, 0.000], [0.000, 0.500, 0.500], [0.500, 0.000, 0.500], [0.500, 0.500, 0.000], [0.500, 0.500, 0.500]]
}

***

12.
{
  "formula": "Ho2ErCu2",
  "functional": "PBE-GGA",
  "state": "optimized geometry",
  "e_above_lowest_polymorph_mev_per_atom": 0,
  "total_energy_ev_per_atom": -4.5636,
  "space_group": "P2_1/m (11)",
  "formation_energy_mev_per_atom": -181,
  "cell": [[3.477, 0.000, 0.000], [0.000, 5.021, 0.000], [-1.737, 0.000, 12.897]],
  "species": ["Ho", "Ho", "Ho", "Ho", "Er", "Er", "Cu", "Cu", "Cu", "Cu"],
  "fractional_positions": [[0.047, 0.250, 0.093], [0.230, 0.250, 0.460], [0.770, 0.750, 0.540], [0.953, 0.750, 0.907], [0.142, 0.750, 0.283], [0.858, 0.250, 0.717], [0.359, 0.750, 0.720], [0.453, 0.250, 0.907], [0.547, 0.750, 0.093], [0.641, 0.250, 0.280]]
}

***

13.
{
  "formula": "Ba2TlZnI",
  "functional": "PBE-GGA",
  "state": "optimized geometry",
  "total_energy_ev_per_atom": -2.2401,
  "space_group": "P4/mmm (123)",
  "e_form_raw_ev_per_atom": -0.433,
  "cell": [[6.760, 0.000, 0.000], [0.000, 6.760, 0.000], [0.000, 0.000, 5.053]],
  "species": ["Ba", "Ba", "Tl", "Zn", "I"],
  "fractional_positions": [[0.000, 0.500, 0.000], [0.500, 0.000, 0.000], [0.000, 0.000, 0.000], [0.000, 0.000, 0.500], [0.500, 0.500, 0.500]]
}

***

14.
{
  "formula": "CdTcPb",
  "functional": "PBE-GGA",
  "state": "optimized geometry",
  "e_above_lowest_polymorph_mev_per_atom": 17,
  "total_energy_ev_per_atom": -4.3920,
  "space_group": "P3m1 (156)",
  "formation_energy_mev_per_atom": 604,
  "cell": [[3.172, 0.000, 0.000], [-1.586, 2.747, 0.000], [0.000, 0.000, 7.430]],
  "species": ["Cd", "Tc", "Pb"],
  "fractional_positions": [[0.000, 0.000, 0.000], [0.333, 0.667, 0.702], [0.667, 0.333, 0.394]]
}

***

15.
{
  "formula": "TlB2PbF8",
  "functional": "PBE-GGA",
  "state": "optimized geometry",
  "total_energy_ev_per_atom": -5.3463,
  "space_group": "R-3 (148)",
  "e_form_raw_ev_per_atom": -2.480,
  "cell": [[2.418, 1.396, 10.005], [-2.418, 1.396, 10.005], [0.000, -2.792, 10.005]],
  "species": ["Tl", "B", "B", "Pb", "F", "F", "F", "F", "F", "F", "F", "F"],
  "fractional_positions": [[0.000, 0.000, 0.000], [0.256, 0.256, 0.256], [0.744, 0.744, 0.744], [0.500, 0.500, 0.500], [0.042, 0.748, 0.488], [0.252, 0.512, 0.958], [0.304, 0.304, 0.304], [0.488, 0.042, 0.748], [0.512, 0.958, 0.252], [0.696, 0.696, 0.696], [0.748, 0.488, 0.042], [0.958, 0.252, 0.512]]
}

***

16.
{
  "formula": "CsAlGa2Hg",
  "functional": "PBE-GGA",
  "state": "optimized geometry",
  "total_energy_ev_per_atom": -2.0517,
  "space_group": "P4/mmm (123)",
  "formation_energy_mev_per_atom": 139,
  "cell": [[5.214, 0.000, 0.000], [0.000, 5.214, 0.000], [0.000, 0.000, 5.728]],
  "species": ["Cs", "Al", "Ga", "Ga", "Hg"],
  "fractional_positions": [[0.000, 0.000, 0.000], [0.500, 0.500, 0.500], [0.000, 0.500, 0.500], [0.500, 0.000, 0.500], [0.500, 0.500, 0.000]]
}

***

17.
{
  "formula": "PrSmBrN",
  "functional": "PBE-GGA",
  "state": "optimized geometry",
  "total_energy_ev_per_atom": -6.2674,
  "space_group": "Cm (8)",
  "e_form_raw_ev_per_atom": -1.393,
  "cell": [[6.430, 0.000, 0.000], [0.000, 3.721, 0.000], [-2.145, 0.000, 7.383]],
  "species": ["Pr", "Pr", "Sm", "Sm", "Br", "Br", "N", "N"],
  "fractional_positions": [[0.000, 0.000, 0.000], [0.500, 0.500, 0.000], [0.213, 0.000, 0.638], [0.713, 0.500, 0.638], [0.276, 0.500, 0.327], [0.776, 0.000, 0.327], [0.098, 0.500, 0.793], [0.598, 0.000, 0.793]]
}

***

18.
{
  "formula": "Tb4HoIn3",
  "functional": "PBE-GGA",
  "state": "optimized geometry",
  "e_above_lowest_polymorph_mev_per_atom": 101,
  "total_energy_ev_per_atom": -4.1354,
  "space_group": "Immm (71)",
  "formation_energy_mev_per_atom": -221,
  "cell": [[3.527, 0.000, 0.000], [0.000, 8.868, 0.000], [0.000, 0.000, 15.085]],
  "species": ["Tb", "Tb", "Tb", "Tb", "Tb", "Tb", "Tb", "Tb", "Ho", "Ho", "In", "In", "In", "In", "In", "In"],
  "fractional_positions": [[0.000, 0.199, 0.139], [0.000, 0.199, 0.861], [0.000, 0.801, 0.139], [0.000, 0.801, 0.861], [0.500, 0.301, 0.361], [0.500, 0.301, 0.639], [0.500, 0.699, 0.361], [0.500, 0.699, 0.639], [0.000, 0.500, 0.000], [0.500, 0.000, 0.500], [0.000, 0.000, 0.316], [0.000, 0.000, 0.684], [0.000, 0.500, 0.500], [0.500, 0.000, 0.000], [0.500, 0.500, 0.184], [0.500, 0.500, 0.816]]
}

***

19.
{
  "formula": "CaTaPt2Br",
  "functional": "PBE-GGA",
  "state": "optimized geometry",
  "total_energy_ev_per_atom": -4.8335,
  "space_group": "P4/mmm (123)",
  "e_form_raw_ev_per_atom": 0.688,
  "cell": [[4.904, 0.000, 0.000], [0.000, 4.904, 0.000], [0.000, 0.000, 4.722]],
  "species": ["Ca", "Ta", "Pt", "Pt", "Br"],
  "fractional_positions": [[0.000, 0.000, 0.000], [0.500, 0.500, 0.000], [0.000, 0.500, 0.500], [0.500, 0.000, 0.500], [0.500, 0.500, 0.500]]
}

***

20.
{
  "formula": "KDyCuSe2",
  "functional": "PBE-GGA",
  "state": "optimized geometry",
  "total_energy_ev_per_atom": -4.3713,
  "space_group": "P2/c (13)",
  "e_form_raw_ev_per_atom": -1.018,
  "cell": [[7.796, 0.000, 0.000], [0.000, 4.583, 0.000], [-1.190, 0.000, 8.045]],
  "species": ["K", "K", "Dy", "Dy", "Cu", "Cu", "Se", "Se", "Se", "Se"],
  "fractional_positions": [[0.000, 0.153, 0.250], [0.000, 0.847, 0.750], [0.500, 0.493, 0.750], [0.500, 0.507, 0.250], [0.500, 0.000, 0.000], [0.500, 0.000, 0.500], [0.263, 0.333, 0.969], [0.263, 0.667, 0.469], [0.737, 0.333, 0.531], [0.737, 0.667, 0.031]]
}